# BeNb2ReH, optimized geometry, DFT PBE
data_BeNb2ReH
_symmetry_space_group_name_H-M 'P 4/m m m'
_symmetry_Int_Tables_number 123
_symmetry_space_group_name_Hall '-P 4 2'
_cell_length_a 4.3192
_cell_length_b 4.3192
_cell_length_c 3.3794
_cell_angle_alpha 90.00
_cell_angle_beta 90.00
_cell_angle_gamma 90.00
loop_
_atom_site_label
_atom_site_type_symbol
_atom_site_fract_x
_atom_site_fract_y
_atom_site_fract_z
Be1 Be 0.0000 0.0000 0.0000
Nb1 Nb 0.0000 0.5000 0.5000
Re1 Re 0.5000 0.5000 0.0000
H1 H 0.0000 0.0000 0.5000
# * total magnetic moment: 0.00 μB per formula unit
# * D(E_F): 0.439 states/eV per atom
# * DFT total energy: -7.9707 eV/atom